# BeNi8B2

A geometry-optimized BeNi8B2 structure (PBE, the Alexandria database).

It has space group C2/m (No. 12), with a = 6.218 Å, b = 9.146 Å, c = 3.934 Å, α = 90.00°, β = 106.42° and γ = 90.00°. Symmetry generates all atoms from Be at (0.000, 0.000, 0.000), Ni at (0.000, 0.240, 0.000), Ni at (0.117, 0.500, 0.807), Ni at (0.202, 0.128, 0.592) and B at (0.000, 0.314, 0.500).

As for the total magnetic moment: 0.000 μB/f.u. The calculation puts the density at 7742 kg/m³. Its total energy is -130.73 eV for the cell shown.